No. 1
Here is a geometry-optimized KHg2Pb2Au2 structure from Alexandria. Energies are from PBE.

a b c (Å): 10.566 10.566 10.566
angles (deg): 26.30 26.30 26.30
Fractional coordinates of all 7 atoms:
1 K 0.000 0.000 0.000
2 Hg 0.264 0.264 0.264
3 Hg 0.736 0.736 0.736
4 Pb 0.135 0.135 0.135
5 Pb 0.865 0.865 0.865
6 Au 0.429 0.429 0.429
7 Au 0.571 0.571 0.571

Output
**V**: 204.0 Å³ per cell
**DOS at the Fermi energy**: 0.466 states/eV per atom
**ΔE_f**: -0.1057 eV per atom
**Space-group type**: No. 166

***

No. 2
Here is a geometry-optimized Nd3Dy2Mg2 structure from Alexandria. Energies are from PBE.

a b c (Å): 15.768 15.768 3.699
angles (deg): 90.00 90.00 166.15
Fractional coordinates of all 7 atoms:
1 Nd 0.000 0.000 0.000
2 Nd 0.418 0.582 0.500
3 Nd 0.582 0.418 0.500
4 Dy 0.295 0.705 0.500
5 Dy 0.705 0.295 0.500
6 Mg 0.146 0.854 0.000
7 Mg 0.854 0.146 0.000

Output
**V**: 220.2 Å³ per cell
**DOS at the Fermi energy**: 1.000 states/eV per atom
**ΔE_f**: 0.0495 eV per atom
**Space-group type**: No. 65

***

No. 3
Here is a geometry-optimized Er2BeIr structure from Alexandria. Energies are from PBE.

a b c (Å): 4.798 4.798 4.798
angles (deg): 60.00 60.00 60.00
Fractional coordinates of all 4 atoms:
1 Er 0.250 0.250 0.250
2 Er 0.750 0.750 0.750
3 Be 0.000 0.000 0.000
4 Ir 0.500 0.500 0.500

Output
**V**: 78.1 Å³ per cell
**DOS at the Fermi energy**: 0.638 states/eV per atom
**ΔE_f**: -0.4535 eV per atom
**Space-group type**: No. 225

***

No. 4
Here is a geometry-optimized IrRu3 structure from Alexandria. Energies are from PBE.

a b c (Å): 9.004 9.004 9.004
angles (deg): 17.30 17.30 17.30
Fractional coordinates of all 4 atoms:
1 Ir 0.000 0.000 0.000
2 Ru 0.249 0.249 0.249
3 Ru 0.500 0.500 0.500
4 Ru 0.751 0.751 0.751

Output
**V**: 56.3 Å³ per cell
**DOS at the Fermi energy**: 1.309 states/eV per atom
**ΔE_f**: 0.0568 eV per atom
**Space-group type**: No. 166

***

No. 5
Here is a geometry-optimized ScTlS2N structure from Alexandria. Energies are from PBE.

a b c (Å): 5.089 5.089 4.292
angles (deg): 90.00 90.00 90.00
Fractional coordinates of all 5 atoms:
1 Sc 0.000 0.000 0.000
2 Tl 0.500 0.500 0.500
3 S 0.000 0.500 0.000
4 S 0.500 0.000 0.000
5 N 0.000 0.000 0.500

Output
**V**: 111.2 Å³ per cell
**Electronic total energy**: -26.0 eV per formula unit
**DOS at the Fermi energy**: 0.750 states/eV per atom
**Space-group type**: No. 123

***

No. 6
Here is a geometry-optimized BaHfPCl2 structure from Alexandria. Energies are from PBE.

a b c (Å): 5.584 5.584 6.313
angles (deg): 90.00 90.00 90.00
Fractional coordinates of all 5 atoms:
1 Ba 0.000 0.000 0.000
2 Hf 0.500 0.500 0.500
3 P 0.000 0.000 0.500
4 Cl 0.000 0.500 0.000
5 Cl 0.500 0.000 0.000

Output
**V**: 196.9 Å³ per cell
**Electronic total energy**: -20.0 eV per formula unit
**DOS at the Fermi energy**: 0.406 states/eV per atom
**Space-group type**: No. 123

***

No. 7
Here is a geometry-optimized Na3SnAs2 structure from Alexandria. Energies are from PBE.

a b c (Å): 12.059 5.131 9.717
angles (deg): 90.00 90.00 90.00
Fractional coordinates of all 24 atoms:
1 Na 0.042 0.250 0.103
2 Na 0.176 0.750 0.633
3 Na 0.218 0.250 0.817
4 Na 0.282 0.750 0.317
5 Na 0.324 0.250 0.133
6 Na 0.458 0.750 0.603
7 Na 0.542 0.250 0.397
8 Na 0.676 0.750 0.867
9 Na 0.718 0.250 0.683
10 Na 0.782 0.750 0.183
11 Na 0.824 0.250 0.367
12 Na 0.958 0.750 0.897
13 Sn 0.093 0.250 0.426
14 Sn 0.407 0.750 0.926
15 Sn 0.593 0.250 0.074
16 Sn 0.907 0.750 0.574
17 As 0.023 0.750 0.328
18 As 0.194 0.750 0.006
19 As 0.306 0.250 0.506
20 As 0.477 0.250 0.828
21 As 0.523 0.750 0.172
22 As 0.694 0.750 0.494
23 As 0.806 0.250 0.994
24 As 0.977 0.250 0.672

Output
**V**: 601.3 Å³ per cell
**DOS at the Fermi energy**: 0.177 states/eV per atom
**ΔE_f**: -0.3299 eV per atom
**Space-group type**: No. 62

***

No. 8
Here is a geometry-optimized Hf6Hg2Mo structure from Alexandria. Energies are from PBE.

a b c (Å): 8.047 8.047 8.047
angles (deg): 145.87 131.36 60.75
Fractional coordinates of all 9 atoms:
1 Hf 0.085 0.342 0.743
2 Hf 0.233 0.000 0.233
3 Hf 0.400 0.658 0.743
4 Hf 0.600 0.342 0.257
5 Hf 0.767 0.000 0.767
6 Hf 0.915 0.658 0.257
7 Hg 0.331 0.831 0.500
8 Hg 0.669 0.169 0.500
9 Mo 0.000 0.500 0.500

Output
**V**: 217.3 Å³ per cell
**DOS at the Fermi energy**: 1.235 states/eV per atom
**ΔE_f**: 0.3539 eV per atom
**Space-group type**: No. 71

***

No. 9
Here is a geometry-optimized NaZrAl structure from Alexandria. Energies are from PBE.

a b c (Å): 7.236 5.958 5.737
angles (deg): 76.42 53.17 50.41
Fractional coordinates of all 6 atoms:
1 Na 0.152 0.848 0.152
2 Na 0.848 0.152 0.848
3 Zr 0.320 0.320 0.680
4 Zr 0.680 0.680 0.320
5 Al 0.250 0.250 0.250
6 Al 0.750 0.750 0.750

Output
**V**: 148.1 Å³ per cell
**DOS at the Fermi energy**: 1.131 states/eV per atom
**ΔE_f**: 0.2318 eV per atom
**Space-group type**: No. 69

***

No. 10
Here is a geometry-optimized ZnCrCl2 structure from Alexandria. Energies are from PBE.

a b c (Å): 4.730 4.730 3.498
angles (deg): 90.00 90.00 90.18
Fractional coordinates of all 4 atoms:
1 Zn 0.000 0.000 0.000
2 Cr 0.500 0.500 0.000
3 Cl 0.000 0.500 0.500
4 Cl 0.500 0.000 0.500

Output
**V**: 78.3 Å³ per cell
**Electronic total energy**: -14.6 eV per formula unit
**DOS at the Fermi energy**: 0.814 states/eV per atom
**Space-group type**: No. 65

***

No. 11
Here is a geometry-optimized BaRe2Au structure from Alexandria. Energies are from PBE.

a b c (Å): 2.928 5.069 5.576
angles (deg): 90.00 90.00 90.00
Fractional coordinates of all 4 atoms:
1 Ba 0.000 0.000 0.000
2 Re 0.000 0.500 0.500
3 Re 0.500 0.000 0.500
4 Au 0.500 0.500 0.000

Output
**V**: 82.7 Å³ per cell
**DOS at the Fermi energy**: 0.659 states/eV per atom
**ΔE_f**: 1.1897 eV per atom
**Space-group type**: No. 47

***

No. 12
Here is a geometry-optimized CuBiS2N structure from Alexandria. Energies are from PBE.

a b c (Å): 4.831 4.831 3.718
angles (deg): 90.00 90.00 90.00
Fractional coordinates of all 5 atoms:
1 Cu 0.000 0.000 0.000
2 Bi 0.500 0.500 0.500
3 S 0.000 0.500 0.000
4 S 0.500 0.000 0.000
5 N 0.000 0.000 0.500

Output
**V**: 86.8 Å³ per cell
**Electronic total energy**: -21.5 eV per formula unit
**DOS at the Fermi energy**: 0.407 states/eV per atom
**Space-group type**: No. 123

***

No. 13
Here is a geometry-optimized Sc2Ir structure from Alexandria. Energies are from PBE.

a b c (Å): 8.708 8.708 8.708
angles (deg): 60.00 60.00 60.00
Fractional coordinates of all 24 atoms:
1 Sc 0.000 0.000 0.000
2 Sc 0.000 0.000 0.500
3 Sc 0.000 0.500 0.000
4 Sc 0.187 0.187 0.563
5 Sc 0.187 0.563 0.187
6 Sc 0.187 0.563 0.563
7 Sc 0.437 0.437 0.813
8 Sc 0.437 0.813 0.437
9 Sc 0.437 0.813 0.813
10 Sc 0.500 0.000 0.000
11 Sc 0.563 0.187 0.187
12 Sc 0.563 0.187 0.563
13 Sc 0.563 0.563 0.187
14 Sc 0.813 0.437 0.437
15 Sc 0.813 0.437 0.813
16 Sc 0.813 0.813 0.437
17 Ir 0.148 0.784 0.784
18 Ir 0.216 0.216 0.216
19 Ir 0.216 0.216 0.852
20 Ir 0.216 0.852 0.216
21 Ir 0.784 0.148 0.784
22 Ir 0.784 0.784 0.148
23 Ir 0.784 0.784 0.784
24 Ir 0.852 0.216 0.216

Output
**V**: 466.9 Å³ per cell
**DOS at the Fermi energy**: 1.126 states/eV per atom
**ΔE_f**: -0.7575 eV per atom
**Space-group type**: No. 227

***

No. 14
Here is a geometry-optimized Pd2PtAu8 structure from Alexandria. Energies are from PBE.

a b c (Å): 7.520 7.520 7.520
angles (deg): 145.68 123.28 67.99
Fractional coordinates of all 11 atoms:
1 Pd 0.192 0.192 0.000
2 Pd 0.808 0.808 0.000
3 Pt 0.500 0.500 0.000
4 Au 0.066 0.349 0.718
5 Au 0.206 0.000 0.206
6 Au 0.345 0.845 0.500
7 Au 0.369 0.651 0.718
8 Au 0.631 0.349 0.282
9 Au 0.655 0.155 0.500
10 Au 0.794 0.000 0.794
11 Au 0.934 0.651 0.282

Output
**V**: 197.6 Å³ per cell
**DOS at the Fermi energy**: 0.467 states/eV per atom
**ΔE_f**: 0.0416 eV per atom
**Space-group type**: No. 71

***

No. 15
Here is a geometry-optimized TbYS2 structure from Alexandria. Energies are from PBE.

a b c (Å): 3.875 3.875 13.196
angles (deg): 90.00 90.00 120.00
Fractional coordinates of all 8 atoms:
1 Tb 0.333 0.667 0.250
2 Tb 0.667 0.333 0.750
3 Y 0.000 0.000 0.000
4 Y 0.000 0.000 0.500
5 S 0.333 0.667 0.622
6 S 0.333 0.667 0.878
7 S 0.667 0.333 0.122
8 S 0.667 0.333 0.378

Output
**V**: 171.6 Å³ per cell
**Electronic total energy**: -27.3 eV per formula unit
**DOS at the Fermi energy**: 0.409 states/eV per atom
**Space-group type**: No. 194

***

No. 16
Here is a geometry-optimized SrInP2S structure from Alexandria. Energies are from PBE.

a b c (Å): 5.026 5.026 5.241
angles (deg): 90.00 90.00 90.00
Fractional coordinates of all 5 atoms:
1 Sr 0.000 0.000 0.000
2 In 0.500 0.500 0.500
3 P 0.000 0.500 0.500
4 P 0.500 0.000 0.500
5 S 0.500 0.500 0.000

Output
**V**: 132.4 Å³ per cell
**Electronic total energy**: -19.3 eV per formula unit
**DOS at the Fermi energy**: 1.140 states/eV per atom
**Space-group type**: No. 123

***

No. 17
Here is a geometry-optimized NaAcTbSn structure from Alexandria. Energies are from PBE.

a b c (Å): 5.608 5.608 5.608
angles (deg): 60.00 60.00 60.00
Fractional coordinates of all 4 atoms:
1 Na 0.000 0.000 0.000
2 Ac 0.750 0.750 0.750
3 Tb 0.250 0.250 0.250
4 Sn 0.500 0.500 0.500

Output
**V**: 124.7 Å³ per cell
**DOS at the Fermi energy**: 0.927 states/eV per atom
**ΔE_f**: -0.2436 eV per atom
**Space-group type**: No. 216